Version A
Material: PuMgZr2
Method: DFT, PBE-GGA
State: relaxed

Properties
**Magnetization**: 5.658 μB per formula unit
**Calculated volume**: 22.69 A^3/atom

Cell lengths 5.234, 5.234, 3.313 Å; angles 90.00, 90.00, 90.00 degrees
Space group P4/mmm (No. 123)
Unique sites:
Pu 0.000 0.000 0.000 x1
Mg 0.500 0.500 0.000 x1
Zr 0.000 0.500 0.500 x2

---

Version B
Material: PuMgZr2
Method: DFT, PBE-GGA
State: relaxed

Properties
**Magnetization**: 5.120 μB per formula unit
**Calculated volume**: 23.72 A^3/atom

Cell lengths 3.2096, 3.2096, 31.9012 Å; angles 90.00, 90.00, 120.00 degrees
Space group R3m (No. 160, hexagonal axes)
Unique sites:
Pu 0.0000 0.0000 0.0000 x3
Mg 0.0000 0.0000 0.1668 x3
Zr 0.0000 0.0000 0.4160 x3
Zr 0.0000 0.0000 0.5844 x3

---

Most stable structure, least stable structure: version A, version B.

---

Version A
Material: PuMgZr2
Method: DFT, PBE-GGA
State: relaxed

Properties
**Magnetization**: 5.189 μB per formula unit
**Calculated volume**: 23.67 A^3/atom

Cell lengths 3.2312, 3.2312, 31.4071 Å; angles 90.00, 90.00, 120.00 degrees
Space group R-3m (No. 166, hexagonal axes)
Unique sites:
Pu 0.0000 0.0000 0.0000 x3
Mg 0.0000 0.0000 0.5000 x3
Zr 0.0000 0.0000 0.2508 x6

---

Version B
Material: PuMgZr2
Method: DFT, PBE-GGA
State: relaxed

Properties
**Magnetization**: 5.127 μB per formula unit
**Calculated volume**: 23.33 A^3/atom

Cell lengths 3.214, 3.214, 9.030 Å; angles 90.00, 90.00, 90.00 degrees
Space group P4/mmm (No. 123)
Unique sites:
Pu 0.000 0.000 0.000 x1
Mg 0.000 0.000 0.500 x1
Zr 0.500 0.500 0.254 x2

---

Most stable structure, least stable structure: version B, version A.

---

Version A
Material: PuMgZr
Method: DFT, PBE-GGA
State: relaxed

Properties
**Magnetization**: 5.147 μB per formula unit
**Calculated volume**: 23.74 A^3/atom

Cell lengths 3.118, 3.118, 14.649 Å; angles 90.00, 90.00, 90.00 degrees
Space group I4mm (No. 107)
Unique sites:
Pu 0.000 0.000 0.000 x2
Mg 0.000 0.000 0.676 x2
Zr 0.000 0.000 0.336 x2

---

Version B
Material: PuMgZr
Method: DFT, PBE-GGA
State: relaxed

Properties
**Magnetization**: 0.000 μB per formula unit
**Calculated volume**: 22.81 A^3/atom

Cell lengths 26.850, 3.223, 3.163 Å; angles 90.00, 90.00, 90.00 degrees
Space group Pnma (No. 62)
Unique sites:
Pu 0.231 0.250 0.249 x4
Mg 0.043 0.250 0.751 x4
Zr 0.147 0.750 0.748 x4

---

Most stable structure, least stable structure: version A, version B.